Material: Ce2ZrSc4
Method: DFT, PBE
State: relaxed

Calculated values
- ΔE to the lowest computed polymorph (eV/atom) = 0.000
- energy relative to the elements (eV/atom) = 0.1121

Cell and atoms, written as CIF:
```
data_Ce2ZrSc4
_cell_length_a 3.127
_cell_length_b 8.196
_cell_length_c 8.012
_cell_angle_alpha 120.23
_cell_angle_beta 90.00
_cell_angle_gamma 90.00
_symmetry_space_group_name_H-M 'P 1'
_symmetry_Int_Tables_number 1
_symmetry_space_group_name_Hall 'P 1'
loop_
_atom_site_label
_atom_site_fract_x
_atom_site_fract_y
_atom_site_fract_z
_atom_site_occupancy
Ce1 0.500 0.229 0.423 1
Ce2 0.500 0.628 0.577 1
Sc1 0.500 0.085 0.749 1
Sc2 0.500 0.772 0.251 1
Sc3 0.000 0.364 0.147 1
Sc4 0.000 0.493 0.853 1
Zr1 0.000 0.929 0.000 1
```



Material: KSc2Be
Method: DFT, PBE
State: relaxed

Calculated values
- energy relative to the elements (eV/atom) = 0.8059

Cell and atoms, written as CIF:
```
data_KSc2Be
_cell_length_a 8.144
_cell_length_b 8.144
_cell_length_c 6.625
_cell_angle_alpha 52.07
_cell_angle_beta 52.07
_cell_angle_gamma 90.00
_symmetry_space_group_name_H-M 'P 1'
_symmetry_Int_Tables_number 1
_symmetry_space_group_name_Hall 'P 1'
loop_
_atom_site_label
_atom_site_fract_x
_atom_site_fract_y
_atom_site_fract_z
_atom_site_occupancy
Sc1 0.209 0.625 0.250 1
Sc2 0.375 0.459 0.750 1
Sc3 0.541 0.125 0.250 1
Sc4 0.875 0.791 0.750 1
K1 0.750 0.250 0.500 1
K2 0.000 0.000 0.000 1
Be1 0.500 0.500 0.000 1
Be2 0.250 0.750 0.500 1
```



Material: AcPm4Dy2
Method: DFT, PBE
State: relaxed

Calculated values
- ΔE to the lowest computed polymorph (eV/atom) = 0.000
- energy relative to the elements (eV/atom) = 0.1613

Cell and atoms, written as CIF:
```
data_AcPm4Dy2
_cell_length_a 9.389
_cell_length_b 9.383
_cell_length_c 9.280
_cell_angle_alpha 137.00
_cell_angle_beta 106.77
_cell_angle_gamma 89.50
_symmetry_space_group_name_H-M 'P 1'
_symmetry_Int_Tables_number 1
_symmetry_space_group_name_Hall 'P 1'
loop_
_atom_site_label
_atom_site_fract_x
_atom_site_fract_y
_atom_site_fract_z
_atom_site_occupancy
Pm1 0.054 0.857 0.281 1
Pm2 0.370 0.024 0.246 1
Pm3 0.886 0.729 0.814 1
Pm4 0.771 0.119 0.288 1
Pm5 0.336 0.679 0.316 1
Pm6 0.418 0.268 0.789 1
Pm7 0.675 0.979 0.782 1
Pm8 0.472 0.627 0.746 1
Ac1 0.996 0.457 0.322 1
Ac2 0.114 0.075 0.821 1
Dy1 0.564 0.380 0.258 1
Dy2 0.772 0.346 0.789 1
Dy3 0.127 0.445 0.759 1
Dy4 0.695 0.766 0.289 1
```



Material: Dy8GaBi2
Method: DFT, PBE
State: relaxed

Calculated values
- energy relative to the elements (eV/atom) = -0.3486

Cell and atoms, written as CIF:
```
data_Dy8GaBi2
_cell_length_a 5.099
_cell_length_b 6.926
_cell_length_c 9.510
_cell_angle_alpha 87.99
_cell_angle_beta 105.55
_cell_angle_gamma 90.00
_symmetry_space_group_name_H-M 'P 1'
_symmetry_Int_Tables_number 1
_symmetry_space_group_name_Hall 'P 1'
loop_
_atom_site_label
_atom_site_fract_x
_atom_site_fract_y
_atom_site_fract_z
_atom_site_occupancy
Dy1 0.655 0.083 0.309 1
Dy2 0.345 0.917 0.691 1
Dy3 0.409 0.436 0.817 1
Dy4 0.591 0.564 0.183 1
Dy5 0.215 0.368 0.430 1
Dy6 0.785 0.632 0.570 1
Dy7 0.025 0.241 0.050 1
Dy8 0.975 0.759 0.950 1
Bi1 0.831 0.180 0.661 1
Bi2 0.169 0.820 0.339 1
Ga1 0.500 0.000 0.000 1
```



Material: Sr2CaSi2
Method: DFT, PBE
State: relaxed

Calculated values
- ΔE to the lowest computed polymorph (eV/atom) = 0.290

Cell and atoms, written as CIF:
```
data_Sr2CaSi2
_cell_length_a 9.121
_cell_length_b 9.121
_cell_length_c 3.491
_cell_angle_alpha 90.00
_cell_angle_beta 90.00
_cell_angle_gamma 90.00
_symmetry_space_group_name_H-M 'P 1'
_symmetry_Int_Tables_number 1
_symmetry_space_group_name_Hall 'P 1'
loop_
_atom_site_label
_atom_site_fract_x
_atom_site_fract_y
_atom_site_fract_z
_atom_site_occupancy
Ca1 0.000 0.000 0.000 1
Ca2 0.500 0.500 0.000 1
Si1 0.175 0.675 0.500 1
Si2 0.675 0.825 0.500 1
Si3 0.825 0.325 0.500 1
Si4 0.325 0.175 0.500 1
Sr1 0.374 0.874 0.000 1
Sr2 0.874 0.626 0.000 1
Sr3 0.626 0.126 0.000 1
Sr4 0.126 0.374 0.000 1
```



Material: Sr2LiCu2
Method: DFT, PBE
State: relaxed

Calculated values
- ΔE to the lowest computed polymorph (eV/atom) = 0.199
- energy relative to the elements (eV/atom) = 0.1430

Cell and atoms, written as CIF:
```
data_Sr2LiCu2
_cell_length_a 3.684
_cell_length_b 3.684
_cell_length_c 10.558
_cell_angle_alpha 79.95
_cell_angle_beta 79.95
_cell_angle_gamma 90.00
_symmetry_space_group_name_H-M 'P 1'
_symmetry_Int_Tables_number 1
_symmetry_space_group_name_Hall 'P 1'
loop_
_atom_site_label
_atom_site_fract_x
_atom_site_fract_y
_atom_site_fract_z
_atom_site_occupancy
Li1 0.000 0.000 0.000 1
Cu1 0.750 0.250 0.500 1
Cu2 0.250 0.750 0.500 1
Sr1 0.626 0.626 0.748 1
Sr2 0.374 0.374 0.252 1
```



Material: DyHo3Hg
Method: DFT, PBE
State: relaxed

Calculated values
- energy relative to the elements (eV/atom) = -0.1181

Cell and atoms, written as CIF:
```
data_DyHo3Hg
_cell_length_a 6.651
_cell_length_b 6.651
_cell_length_c 8.693
_cell_angle_alpha 87.79
_cell_angle_beta 120.06
_cell_angle_gamma 113.31
_symmetry_space_group_name_H-M 'P 1'
_symmetry_Int_Tables_number 1
_symmetry_space_group_name_Hall 'P 1'
loop_
_atom_site_label
_atom_site_fract_x
_atom_site_fract_y
_atom_site_fract_z
_atom_site_occupancy
Ho1 0.179 0.561 0.741 1
Ho2 0.731 0.909 0.140 1
Ho3 0.821 0.439 0.259 1
Ho4 0.231 0.409 0.140 1
Ho5 0.769 0.591 0.860 1
Ho6 0.269 0.091 0.860 1
Hg1 0.751 0.749 0.500 1
Hg2 0.249 0.251 0.500 1
Dy1 0.321 0.939 0.260 1
Dy2 0.679 0.061 0.740 1
```



Material: AcPm2Zn2Pb2
Method: DFT, PBE
State: relaxed

Calculated values
- energy relative to the elements (eV/atom) = -0.2424

Cell and atoms, written as CIF:
```
data_AcPm2Zn2Pb2
_cell_length_a 4.856
_cell_length_b 4.856
_cell_length_c 10.327
_cell_angle_alpha 76.40
_cell_angle_beta 76.40
_cell_angle_gamma 60.00
_symmetry_space_group_name_H-M 'P 1'
_symmetry_Int_Tables_number 1
_symmetry_space_group_name_Hall 'P 1'
loop_
_atom_site_label
_atom_site_fract_x
_atom_site_fract_y
_atom_site_fract_z
_atom_site_occupancy
Pb1 0.736 0.736 0.792 1
Pb2 0.264 0.264 0.208 1
Zn1 0.430 0.430 0.709 1
Zn2 0.570 0.570 0.291 1
Pm1 0.134 0.134 0.598 1
Pm2 0.866 0.866 0.402 1
Ac1 0.000 0.000 0.000 1
```



Volume list, top to bottom, in Å³/cell: 177.45 217.23 507.60 323.29 290.38 138.87 299.45 202.94
DFT total energy list, top to bottom, in eV per atom: -6.422 -3.566 -4.455 -4.676 -3.333 -2.551 -3.846 -3.610